Record 1
{
  "formula": "PrPa2P4",
  "functional": "PBE-GGA",
  "state": "relaxed",
  "energy_ev_per_cell": -105.99,
  "e_form_kj_per_mol_fu": -732,
  "mass_density_g_cm3": 7.01,
  "cell": [[2.008, -6.667, 0.000], [2.008, 6.667, 0.000], [0.000, 0.000, 12.853]],
  "species": ["Pr", "Pr", "Pa", "Pa", "Pa", "Pa", "P", "P", "P", "P", "P", "P", "P", "P"],
  "frac_coords": [[0.113, 0.887, 0.750], [0.887, 0.113, 0.250], [0.370, 0.630, 0.563], [0.370, 0.630, 0.937], [0.630, 0.370, 0.063], [0.630, 0.370, 0.437], [0.000, 0.000, 0.000], [0.000, 0.000, 0.500], [0.264, 0.736, 0.121], [0.264, 0.736, 0.379], [0.456, 0.544, 0.750], [0.544, 0.456, 0.250], [0.736, 0.264, 0.621], [0.736, 0.264, 0.879]]
}

Record 2
{
  "formula": "Pr3Pu2PaP6",
  "functional": "PBE-GGA",
  "state": "relaxed",
  "energy_ev_per_cell": -101.42,
  "e_form_kj_per_mol_fu": -1588,
  "mass_density_g_cm3": 7.58,
  "cell": [[3.542, -6.135, 0.000], [3.542, 6.135, 0.000], [-2.361, 0.000, 6.695]],
  "species": ["Pr", "Pr", "Pr", "Pu", "Pu", "Pa", "P", "P", "P", "P", "P", "P"],
  "frac_coords": [[0.000, 0.000, 0.000], [0.332, 0.668, 0.000], [0.668, 0.332, 0.000], [0.166, 0.834, 0.500], [0.834, 0.166, 0.500], [0.500, 0.500, 0.500], [0.094, 0.423, 0.268], [0.248, 0.248, 0.732], [0.423, 0.094, 0.268], [0.577, 0.906, 0.732], [0.752, 0.752, 0.268], [0.906, 0.577, 0.732]]
}

Record 3
{
  "formula": "Pr2PuPaP4",
  "functional": "PBE-GGA",
  "state": "relaxed",
  "energy_ev_per_cell": -66.14,
  "e_form_kj_per_mol_fu": -1072,
  "mass_density_g_cm3": 7.56,
  "cell": [[7.062, 0.000, 0.000], [0.000, 4.088, 0.000], [-2.367, 0.000, 6.698]],
  "species": ["Pr", "Pr", "Pu", "Pa", "P", "P", "P", "P"],
  "frac_coords": [[0.000, 0.000, 0.000], [0.500, 0.500, 0.000], [0.000, 0.500, 0.500], [0.500, 0.000, 0.500], [0.247, 0.000, 0.731], [0.260, 0.500, 0.268], [0.740, 0.500, 0.732], [0.753, 0.000, 0.269]]
}

Record 4
{
  "formula": "Pr2PaP3Rh12",
  "functional": "PBE-GGA",
  "state": "relaxed",
  "energy_ev_per_cell": -130.50,
  "e_form_kj_per_mol_fu": -675,
  "mass_density_g_cm3": 9.19,
  "cell": [[4.173, 2.409, 5.515], [-4.173, 2.409, 5.515], [0.000, -4.818, 5.515]],
  "species": ["Pr", "Pr", "Pa", "P", "P", "P", "Rh", "Rh", "Rh", "Rh", "Rh", "Rh", "Rh", "Rh", "Rh", "Rh", "Rh", "Rh"],
  "frac_coords": [[0.100, 0.100, 0.100], [0.900, 0.900, 0.900], [0.500, 0.500, 0.500], [0.000, 0.500, 0.500], [0.500, 0.000, 0.500], [0.500, 0.500, 0.000], [0.120, 0.643, 0.643], [0.169, 0.169, 0.591], [0.169, 0.591, 0.169], [0.357, 0.357, 0.880], [0.357, 0.880, 0.357], [0.409, 0.831, 0.831], [0.591, 0.169, 0.169], [0.643, 0.120, 0.643], [0.643, 0.643, 0.120], [0.831, 0.409, 0.831], [0.831, 0.831, 0.409], [0.880, 0.357, 0.357]]
}

Record 5
{
  "formula": "PrPaP2Rh5",
  "functional": "PBE-GGA",
  "state": "relaxed",
  "energy_ev_per_cell": -64.46,
  "e_form_kj_per_mol_fu": -251,
  "mass_density_g_cm3": 8.16,
  "cell": [[4.433, 0.000, 0.000], [0.000, 4.433, 0.000], [0.000, 0.000, 9.821]],
  "species": ["Pr", "Pa", "P", "P", "Rh", "Rh", "Rh", "Rh", "Rh"],
  "frac_coords": [[0.000, 0.000, 0.000], [0.500, 0.500, 0.500], [0.500, 0.500, 0.239], [0.500, 0.500, 0.761], [0.000, 0.500, 0.216], [0.000, 0.500, 0.784], [0.500, 0.000, 0.216], [0.500, 0.000, 0.784], [0.500, 0.500, 0.000]]
}

Record 6
{
  "formula": "Pr2PaP3Rh4",
  "functional": "PBE-GGA",
  "state": "relaxed",
  "energy_ev_per_cell": -74.87,
  "e_form_kj_per_mol_fu": -982,
  "mass_density_g_cm3": 9.10,
  "cell": [[4.101, 0.000, 0.000], [0.000, 4.101, 0.000], [0.000, 0.000, 11.046]],
  "species": ["Pr", "Pr", "Pa", "P", "P", "P", "Rh", "Rh", "Rh", "Rh"],
  "frac_coords": [[0.000, 0.500, 0.220], [0.500, 0.000, 0.780], [0.000, 0.000, 0.500], [0.000, 0.500, 0.874], [0.500, 0.000, 0.126], [0.500, 0.500, 0.500], [0.000, 0.000, 0.000], [0.000, 0.500, 0.657], [0.500, 0.000, 0.343], [0.500, 0.500, 0.000]]
}

Record 7
{
  "formula": "PrPaPS",
  "functional": "PBE-GGA",
  "state": "relaxed",
  "formation_energy_uncorrected_ev_per_atom": -1.4978,
  "energy_ev_per_cell": -29.80,
  "mass_density_g_cm3": 7.56,
  "cell": [[1.967, 1.135, 7.131], [-1.967, 1.135, 7.131], [0.000, -2.271, 7.131]],
  "species": ["Pr", "Pa", "P", "S"],
  "frac_coords": [[0.000, 0.000, 0.000], [0.178, 0.178, 0.178], [0.585, 0.585, 0.585], [0.762, 0.762, 0.762]]
}

Record 8
{
  "formula": "PrSc2PaP4",
  "functional": "PBE-GGA",
  "state": "relaxed",
  "energy_ev_per_cell": -59.99,
  "e_form_kj_per_mol_fu": -1101,
  "mass_density_g_cm3": 5.70,
  "cell": [[6.713, 0.000, 0.000], [0.000, 3.941, 0.000], [-2.307, 0.000, 6.447]],
  "species": ["Pr", "Sc", "Sc", "Pa", "P", "P", "P", "P"],
  "frac_coords": [[0.000, 0.000, 0.000], [0.500, 0.000, 0.500], [0.500, 0.500, 0.000], [0.000, 0.500, 0.500], [0.266, 0.000, 0.747], [0.270, 0.500, 0.267], [0.730, 0.500, 0.733], [0.734, 0.000, 0.253]]
}

Record 9
{
  "formula": "PrSm4Pa3P8",
  "functional": "PBE-GGA",
  "state": "relaxed",
  "energy_ev_per_cell": -118.93,
  "e_form_kj_per_mol_fu": -2268,
  "mass_density_g_cm3": 7.39,
  "cell": [[4.060, 2.344, 6.620], [-4.060, 2.344, 6.620], [0.000, -4.688, 6.620]],
  "species": ["Pr", "Sm", "Sm", "Sm", "Sm", "Pa", "Pa", "Pa", "P", "P", "P", "P", "P", "P", "P", "P"],
  "frac_coords": [[0.000, 0.000, 0.000], [0.000, 0.000, 0.500], [0.000, 0.500, 0.000], [0.500, 0.000, 0.000], [0.500, 0.500, 0.500], [0.000, 0.500, 0.500], [0.500, 0.000, 0.500], [0.500, 0.500, 0.000], [0.252, 0.252, 0.737], [0.252, 0.737, 0.252], [0.254, 0.254, 0.254], [0.263, 0.748, 0.748], [0.737, 0.252, 0.252], [0.746, 0.746, 0.746], [0.748, 0.263, 0.748], [0.748, 0.748, 0.263]]
}

Record 10
{
  "formula": "Pr3SmPa2P6",
  "functional": "PBE-GGA",
  "state": "relaxed",
  "energy_ev_per_cell": -88.18,
  "e_form_kj_per_mol_fu": -1705,
  "mass_density_g_cm3": 6.93,
  "cell": [[3.544, -6.139, 0.000], [3.544, 6.139, 0.000], [-2.361, 0.000, 6.718]],
  "species": ["Pr", "Pr", "Pr", "Sm", "Pa", "Pa", "P", "P", "P", "P", "P", "P"],
  "frac_coords": [[0.000, 0.000, 0.000], [0.335, 0.665, 0.000], [0.665, 0.335, 0.000], [0.500, 0.500, 0.500], [0.167, 0.833, 0.500], [0.833, 0.167, 0.500], [0.079, 0.422, 0.267], [0.235, 0.235, 0.733], [0.422, 0.079, 0.267], [0.578, 0.921, 0.733], [0.765, 0.765, 0.267], [0.921, 0.578, 0.733]]
}

Record 11
{
  "formula": "Sr2PrPaP4",
  "functional": "PBE-GGA",
  "state": "relaxed",
  "energy_ev_per_cell": -49.58,
  "e_form_kj_per_mol_fu": -994,
  "mass_density_g_cm3": 5.18,
  "cell": [[7.289, 0.000, 0.000], [0.000, 4.228, 0.000], [-2.417, 0.000, 6.978]],
  "species": ["Sr", "Sr", "Pr", "Pa", "P", "P", "P", "P"],
  "frac_coords": [[0.000, 0.000, 0.000], [0.500, 0.500, 0.000], [0.000, 0.500, 0.500], [0.500, 0.000, 0.500], [0.260, 0.000, 0.722], [0.276, 0.500, 0.284], [0.724, 0.500, 0.716], [0.740, 0.000, 0.278]]
}

Record 12
{
  "formula": "SrPr2PaP4",
  "functional": "PBE-GGA",
  "state": "relaxed",
  "energy_ev_per_cell": -53.03,
  "e_form_kj_per_mol_fu": -1028,
  "mass_density_g_cm3": 5.87,
  "cell": [[-2.943, 2.943, 5.915], [2.943, -2.943, 5.915], [2.943, 2.943, -5.915]],
  "species": ["Sr", "Pr", "Pr", "Pa", "P", "P", "P", "P"],
  "frac_coords": [[0.000, 0.000, 0.000], [0.500, 0.500, 0.000], [0.750, 0.250, 0.500], [0.250, 0.750, 0.500], [0.018, 0.518, 0.500], [0.255, 0.255, 0.000], [0.482, 0.982, 0.500], [0.745, 0.745, 0.000]]
}